Below is a geometry-optimized AlCr2O4 structure, with properties calculated at the PBE+U level.

Cell and atoms, written as POSCAR:
```
AlCr2O4
1.0
3.5331 -5.2097 0.0000
3.5331 5.2097 0.0000
-3.3591 0.0000 4.0701
Al Cr O
2 4 8
Direct
0.0683 0.9317 0.7500
0.9317 0.0683 0.2500
0.0000 0.5000 0.0000
0.5000 0.0000 0.5000
0.5000 0.5000 0.0000
0.5000 0.5000 0.5000
0.0876 0.2547 0.7274
0.1311 0.4297 0.3338
0.2547 0.0876 0.2274
0.4297 0.1311 0.8338
0.5703 0.8689 0.1662
0.7453 0.9124 0.7726
0.8689 0.5703 0.6662
0.9124 0.7453 0.2726
```

## Properties
Symmetry ... C2/c
Excess energy over the best structure of this formula in the dataset ... 0.322 eV/atom
Calculated density ... 4.3 g/cm³